(1)
The following is a PBE-GGA calculation of an optimized crystal structure of La2Mg3Cd, from Alexandria via LeMat-Bulk.

abc: 3.4691 5.2982 9.1350
angles: 90.00 90.00 90.00
Last column: nearest neighbours and their distance in Å.
Fractional positions:
La1 0.0000 0.0000 0.0000  2 La 3.47, 2 Cd 3.47, 10 Mg 3.49-3.55
La2 0.0000 0.5000 0.4894  8 Mg 3.47-3.54, 2 La 3.47, 4 Cd 3.49
Mg1 0.5000 0.0000 0.6609  1 Cd 3.03, 2 Mg 3.05
Mg2 0.5000 0.5000 0.1609  1 Mg 3.05, 2 Cd 3.06
Mg3 0.5000 0.5000 0.8270  3 Mg 3.05
Cd1 0.5000 0.0000 0.3295  3 Mg 3.03-3.06

Calculated values
space group = No. 25
calculated total energy = -16.66 eV/cell

(2)
The following is a PBE-GGA calculation of an optimized crystal structure of Mo2Br, from Alexandria via LeMat-Bulk.

abc: 5.9633 5.9633 5.9633
angles: 149.56 149.56 43.59
Last column: nearest neighbours and their distance in Å.
Fractional positions:
Mo1 0.1866 0.1866 0.0000  4 Mo 2.62
Mo2 0.8134 0.8134 0.0000  4 Mo 2.62
Br1 0.5000 0.5000 0.0000  8 Mo 3.03, 4 Br 3.13

Calculated values
E above lowest polymorph = 490 meV per atom
ΔE_f (raw) = 1.805 eV per formula unit
space group = No. 139
calculated total energy = -21.53 eV/cell

(3)
The following is a PBE-GGA calculation of an optimized crystal structure of KTaGaFe2, from Alexandria via LeMat-Bulk.

abc: 4.5009 4.5009 4.7792
angles: 90.00 90.00 90.00
Last column: nearest neighbours and their distance in Å.
Fractional positions:
K1 0.0000 0.0000 0.0000  2 Ga 2.39
Ta1 0.5000 0.5000 0.0000  4 K 3.18, 8 Fe 3.28
Ga1 0.0000 0.0000 0.5000  4 Fe 2.25, 2 K 2.39
Fe1 0.0000 0.5000 0.5000  2 Ga 2.25
Fe2 0.5000 0.0000 0.5000  2 Ga 2.25

Calculated values
space group = No. 123
calculated total energy = -23.11 eV/cell

(4)
The following is a PBE-GGA calculation of an optimized crystal structure of Mg2Cd8Sn, from Alexandria via LeMat-Bulk.

abc: 8.7831 8.7831 5.5933
angles: 106.78 106.78 126.88
Last column: nearest neighbours and their distance in Å.
Fractional positions:
Mg1 0.1816 0.8184 0.0000  10 Cd 3.02-3.29
Mg2 0.8184 0.1816 0.0000  10 Cd 3.02-3.29
Cd1 0.0349 0.0349 0.7858  4 Cd 2.78-2.95
Cd2 0.1229 0.4013 0.7346  6 Cd 2.91-3.15, 1 Mg 3.17
Cd3 0.3036 0.6964 0.5000  2 Mg 3.02, 4 Cd 3.02-3.03, 1 Sn 3.09
Cd4 0.4013 0.1229 0.7346  6 Cd 2.91-3.15, 1 Mg 3.17
Cd5 0.5987 0.8771 0.2654  6 Cd 2.91-3.15, 1 Mg 3.17
Cd6 0.6964 0.3036 0.5000  2 Mg 3.02, 4 Cd 3.02-3.03, 1 Sn 3.09
Cd7 0.8771 0.5987 0.2654  6 Cd 2.91-3.15, 1 Mg 3.17
Cd8 0.9651 0.9651 0.2142  4 Cd 2.78-2.95
Sn1 0.5000 0.5000 0.5000  6 Cd 3.09-3.40

Calculated values
E above lowest polymorph = 8 meV per atom
space group = No. 12
calculated total energy = -14.24 eV/cell

(5)
The following is a PBE-GGA calculation of an optimized crystal structure of HgAu, from Alexandria via LeMat-Bulk.

abc: 3.8224 3.8224 5.7768
angles: 90.00 90.00 90.00
Last column: nearest neighbours and their distance in Å.
Fractional positions:
Hg1 0.2500 0.2500 0.1346  6 Au 2.83-3.04, 4 Hg 3.12
Hg2 0.7500 0.7500 0.8654  6 Au 2.83-3.04, 4 Hg 3.12
Au1 0.2500 0.2500 0.6247  6 Hg 2.83-3.04, 4 Au 3.06
Au2 0.7500 0.7500 0.3753  6 Hg 2.83-3.04, 4 Au 3.06

Calculated values
space group = No. 129
calculated total energy = -6.75 eV/cell

(6)
The following is a PBE-GGA calculation of an optimized crystal structure of HoPaPt3, from Alexandria via LeMat-Bulk.

abc: 4.2118 5.6655 8.9609
angles: 90.00 90.00 90.00
Last column: nearest neighbours and their distance in Å.
Fractional positions:
Ho1 0.2500 0.2500 0.0555  7 Pt 2.88-2.98
Ho2 0.7500 0.7500 0.9445  7 Pt 2.88-2.98
Pa1 0.2500 0.7500 0.3909  8 Pt 2.83-2.95
Pa2 0.7500 0.2500 0.6091  8 Pt 2.83-2.95
Pt1 0.2500 0.2500 0.3884  4 Pa 2.83-2.89, 4 Pt 2.93, 1 Ho 2.98
Pt2 0.2500 0.5022 0.7761  4 Pt 2.81-2.93, 3 Ho 2.88-2.95, 2 Pa 2.95
Pt3 0.2500 0.9978 0.7761  4 Pt 2.81-2.93, 3 Ho 2.88-2.95, 2 Pa 2.95
Pt4 0.7500 0.0022 0.2239  4 Pt 2.81-2.93, 3 Ho 2.88-2.95, 2 Pa 2.95
Pt5 0.7500 0.4978 0.2239  4 Pt 2.81-2.93, 3 Ho 2.88-2.95, 2 Pa 2.95
Pt6 0.7500 0.7500 0.6116  4 Pa 2.83-2.89, 4 Pt 2.93, 1 Ho 2.98

Calculated values
space group = No. 59
calculated total energy = -75.69 eV/cell

(7)
The following is a PBE-GGA calculation of an optimized crystal structure of Tb4Sm5Th2, from Alexandria via LeMat-Bulk.

abc: 8.8816 3.5050 11.8631
angles: 90.00 94.28 90.00
Last column: nearest neighbours and their distance in Å.
Fractional positions:
Tb1 0.1588 0.0000 0.3921  2 Tb 3.50, 8 Sm 3.61-3.75, 2 Th 3.63
Tb2 0.3045 0.0000 0.9549  3 Tb 3.50-3.56, 4 Th 3.59-3.73, 4 Sm 3.60-3.66
Tb3 0.6955 0.0000 0.0451  3 Tb 3.50-3.56, 4 Th 3.59-3.73, 4 Sm 3.60-3.66
Tb4 0.8412 0.0000 0.6079  2 Tb 3.50, 8 Sm 3.61-3.75, 2 Th 3.63
Sm1 0.1945 0.5000 0.6631  1 Th 3.29, 4 Sm 3.45-3.58, 4 Tb 3.61-3.65
Sm2 0.4256 0.5000 0.2113  4 Sm 3.44-3.58, 1 Th 3.50, 6 Tb 3.60-3.75
Sm3 0.5000 0.5000 0.5000  6 Sm 3.44-3.50, 4 Tb 3.65
Sm4 0.5744 0.5000 0.7887  4 Sm 3.44-3.58, 1 Th 3.50, 6 Tb 3.60-3.75
Sm5 0.8055 0.5000 0.3369  1 Th 3.29, 4 Sm 3.45-3.58, 4 Tb 3.61-3.65
Th1 0.0375 0.5000 0.1329  3 Th 3.17-3.50, 2 Sm 3.29-3.50
Th2 0.9625 0.5000 0.8671  3 Th 3.17-3.50, 2 Sm 3.29-3.50

Calculated values
E above lowest polymorph = 0 meV per atom
space group = No. 10
calculated total energy = -55.51 eV/cell

(8)
The following is a PBE-GGA calculation of an optimized crystal structure of Rb2CePmSe4, from Alexandria via LeMat-Bulk.

abc: 7.5915 4.3853 8.3876
angles: 90.00 107.54 90.00
Last column: nearest neighbours and their distance in Å.
Fractional positions:
Rb1 0.0000 0.0000 0.0000  6 Se 3.50
Rb2 0.5000 0.5000 0.0000  6 Se 3.48
Ce1 0.0000 0.5000 0.5000  6 Se 3.00
Pm1 0.5000 0.0000 0.5000  6 Se 2.98-2.99
Se1 0.2351 0.0000 0.6997  1 Pm 2.98, 2 Ce 3.00
Se2 0.2688 0.5000 0.3004  2 Pm 2.99, 1 Ce 3.00
Se3 0.7312 0.5000 0.6996  2 Pm 2.99, 1 Ce 3.00
Se4 0.7649 0.0000 0.3003  1 Pm 2.98, 2 Ce 3.00

Calculated values
ΔE_f (raw) = -13.632 eV per formula unit
space group = No. 10
calculated total energy = -40.19 eV/cell